First-principles (GGA-PBE) data for crystalline Er2Ni3Ge4Rh at its relaxed geometry, as listed in Alexandria via LeMat-Bulk.

The calculation puts the formation energy from the elements at -0.72 eV per atom. For the density, the calculation gives 9.21 Mg/m³. The total energy comes out at -59.52 eV/cell.

The space group is P-4m2 (No. 115) and the conventional cell measures 4.057, 4.057 and 9.900 Å, with angles of 90.00, 90.00 and 90.00 degrees. Symmetry generates all atoms from Er at (0.000, 0.500, 0.244), Ni at (0.000, 0.500, 0.874), Ni at (0.500, 0.500, 0.500), Ge at (0.000, 0.000, 0.000), Ge at (0.000, 0.500, 0.640), Ge at (0.500, 0.500, 0.000) and Rh at (0.000, 0.000, 0.500).